# 1
First-principles (PBE) data for a relaxed structure of KInNi2, as listed in Alexandria via LeMat-Bulk.

```
KInNi2
1.0
3.467 -3.567 0.000
3.467 3.567 0.000
0.000 0.000 2.956
K In Ni
1 1 2
Cartesian
0.000 0.000 0.000 K
3.467 0.000 0.000 In
1.733 1.784 1.478 Ni
1.733 -1.784 1.478 Ni
```

Calculated values
density of states at the Fermi level = 3.06 states/eV per cell
formation energy = 0.582 eV/atom

***

# 2
First-principles (PBE) data for a relaxed structure of KInNi, as listed in Alexandria via LeMat-Bulk.

```
KInNi
1.0
-1.651 1.963 6.229
1.651 -1.963 6.229
1.651 1.963 -6.229
K In Ni
1 1 1
Cartesian
0.000 0.000 0.000 K
0.000 0.000 3.336 In
0.000 0.000 9.222 Ni
```

Calculated values
density of states at the Fermi level = 1.70 states/eV per cell
formation energy = 0.138 eV/atom

***

# 3
First-principles (PBE) data for a relaxed structure of K2InNi2, as listed in Alexandria via LeMat-Bulk.

```
K2InNi2
1.0
6.631 0.000 0.000
0.000 6.631 0.000
0.000 0.000 5.585
K In Ni
4 2 4
Cartesian
1.187 2.128 0.000 K
2.128 5.443 0.000 K
4.503 1.187 0.000 K
5.443 4.503 0.000 K
0.000 0.000 2.793 In
3.315 3.315 2.793 In
0.821 4.136 2.793 Ni
2.494 0.821 2.793 Ni
4.136 5.809 2.793 Ni
5.809 2.494 2.793 Ni
```

Calculated values
density of states at the Fermi level = 5.62 states/eV per cell
distance to the lowest polymorph of the same formula = 0.0 meV per atom
formation energy = 0.327 eV/atom